Crystalline YTl2Cr3F12 at its relaxed geometry, computed with PBE+U.

```
data_YTl2Cr3F12
_cell_length_a 7.6417
_cell_length_b 7.6417
_cell_length_c 7.6417
_cell_angle_alpha 60.90
_cell_angle_beta 60.90
_cell_angle_gamma 60.90
_space_group_name_H-M_alt 'P 1'
_space_group_IT_number 1
_space_group_name_Hall 'P 1'
loop_
_atom_site_label
_atom_site_type_symbol
_atom_site_fract_x
_atom_site_fract_y
_atom_site_fract_z
F1 F 0.0848 0.6847 0.6847
F2 F 0.6606 0.0780 0.0780
F3 F 0.0780 0.0780 0.6606
F4 F 0.9220 0.9220 0.3394
F5 F 0.3153 0.9152 0.3153
F6 F 0.0780 0.6606 0.0780
F7 F 0.9220 0.3394 0.9220
F8 F 0.3153 0.3153 0.9152
F9 F 0.6847 0.6847 0.0848
F10 F 0.9152 0.3153 0.3153
F11 F 0.3394 0.9220 0.9220
F12 F 0.6847 0.0848 0.6847
Y1 Y 0.0000 0.0000 0.0000
Tl1 Tl 0.5954 0.5954 0.5954
Tl2 Tl 0.4046 0.4046 0.4046
Cr1 Cr 0.0000 0.5000 0.0000
Cr2 Cr 0.0000 0.0000 0.5000
Cr3 Cr 0.5000 0.0000 0.0000
```

Summary:
total DFT energy (no corrections)	-5.868	eV per atom